Run one
Entry from Alexandria: an optimized crystal structure of CaPtRh2 (GGA-PBE).

Structure (CIF):
```
data_CaPtRh2
_cell_length_a 2.9092
_cell_length_b 2.9092
_cell_length_c 27.4997
_cell_angle_alpha 90.00
_cell_angle_beta 90.00
_cell_angle_gamma 120.00
_space_group_name_H-M_alt 'R 3 m'
_space_group_IT_number 160
_space_group_name_Hall 'R 3 -2"'
loop_
_atom_site_label
_atom_site_type_symbol
_atom_site_fract_x
_atom_site_fract_y
_atom_site_fract_z
Ca1 Ca 0.0000 0.0000 0.0000
Pt1 Pt 0.0000 0.0000 0.7546
Rh1 Rh 0.0000 0.0000 0.2459
Rh2 Rh 0.0000 0.0000 0.5031
```


Run two
Entry from Alexandria: an optimized crystal structure of CaPtRh2 (GGA-PBE).

Structure (CIF):
```
data_CaPtRh2
_cell_length_a 4.0650
_cell_length_b 4.0650
_cell_length_c 18.8252
_cell_angle_alpha 90.00
_cell_angle_beta 90.00
_cell_angle_gamma 90.00
_space_group_name_H-M_alt 'I -4 2 d'
_space_group_IT_number 122
_space_group_name_Hall 'I -4 2bw'
loop_
_atom_site_label
_atom_site_type_symbol
_atom_site_fract_x
_atom_site_fract_y
_atom_site_fract_z
Ca1 Ca 0.0000 0.0000 0.0000
Pt1 Pt 0.0000 0.0000 0.5000
Rh1 Rh 0.1773 0.2500 0.6250
```


Run three
Entry from Alexandria: an optimized crystal structure of CaPtRh2 (GGA-PBE).

Structure (CIF):
```
data_CaPtRh2
_cell_length_a 9.4348
_cell_length_b 2.8741
_cell_length_c 5.0853
_cell_angle_alpha 90.00
_cell_angle_beta 99.67
_cell_angle_gamma 90.00
_space_group_name_H-M_alt 'C 1 2/m 1'
_space_group_IT_number 12
loop_
_space_group_symop_operation_xyz
'x,y,z'
'-x,-y,-z'
'-x,y,-z'
'x,-y,z'
'x+1/2,y+1/2,z'
'-x+1/2,-y+1/2,-z'
'-x+1/2,y+1/2,-z'
'x+1/2,-y+1/2,z'
loop_
_atom_site_label
_atom_site_type_symbol
_atom_site_fract_x
_atom_site_fract_y
_atom_site_fract_z
Ca1 Ca 0.0000 0.0000 0.0000
Pt1 Pt 0.0000 0.5000 0.5000
Rh1 Rh 0.2425 0.0000 0.7160
```


Order from most stable to least stable according to the calculation: run three, run two, run one


Run one
Entry from Alexandria: an optimized crystal structure of CaPtRh2 (GGA-PBE).

Structure (CIF):
```
data_CaPtRh2
_cell_length_a 6.5053
_cell_length_b 6.5053
_cell_length_c 6.5053
_cell_angle_alpha 90.00
_cell_angle_beta 90.00
_cell_angle_gamma 90.00
_space_group_name_H-M_alt 'F -4 3 m'
_space_group_IT_number 216
_space_group_name_Hall 'F -4 2 3'
loop_
_atom_site_label
_atom_site_type_symbol
_atom_site_fract_x
_atom_site_fract_y
_atom_site_fract_z
Ca1 Ca 0.0000 0.0000 0.0000
Pt1 Pt 0.2500 0.2500 0.2500
Rh1 Rh 0.0000 0.0000 0.5000
Rh2 Rh 0.2500 0.2500 0.7500
```


Run two
Entry from Alexandria: an optimized crystal structure of CaPtRh2 (GGA-PBE).

Structure (CIF):
```
data_CaPtRh2
_cell_length_a 2.8595
_cell_length_b 4.6852
_cell_length_c 4.9591
_cell_angle_alpha 90.00
_cell_angle_beta 90.00
_cell_angle_gamma 90.00
_space_group_name_H-M_alt 'P m m 2'
_space_group_IT_number 25
loop_
_space_group_symop_operation_xyz
'x,y,z'
'-x,-y,z'
'-x,y,z'
'x,-y,z'
loop_
_atom_site_label
_atom_site_type_symbol
_atom_site_fract_x
_atom_site_fract_y
_atom_site_fract_z
Ca1 Ca 0.0000 0.0000 0.0000
Pt1 Pt 0.5000 0.5000 0.8427
Rh1 Rh 0.0000 0.5000 0.3707
Rh2 Rh 0.5000 0.0000 0.4938
```


Order from most stable to least stable according to the calculation: run two, run one


Run one
Entry from Alexandria: an optimized crystal structure of CaPtRh2 (GGA-PBE).

Structure (CIF):
```
data_CaPtRh2
_cell_length_a 2.9024
_cell_length_b 2.9024
_cell_length_c 8.0484
_cell_angle_alpha 90.00
_cell_angle_beta 90.00
_cell_angle_gamma 90.00
_space_group_name_H-M_alt 'P 4 m m'
_space_group_IT_number 99
loop_
_space_group_symop_operation_xyz
'x,y,z'
'-y,x,z'
'-x,-y,z'
'y,-x,z'
'-x,y,z'
'y,x,z'
'x,-y,z'
'-y,-x,z'
loop_
_atom_site_label
_atom_site_type_symbol
_atom_site_fract_x
_atom_site_fract_y
_atom_site_fract_z
Ca1 Ca 0.0000 0.0000 0.0000
Pt1 Pt 0.5000 0.5000 0.2748
Rh1 Rh 0.0000 0.0000 0.5092
Rh2 Rh 0.5000 0.5000 0.7185
```


Run two
Entry from Alexandria: an optimized crystal structure of CaPtRh2 (GGA-PBE).

Structure (CIF):
```
data_CaPtRh2
_cell_length_a 6.4823
_cell_length_b 6.4823
_cell_length_c 6.4823
_cell_angle_alpha 90.00
_cell_angle_beta 90.00
_cell_angle_gamma 90.00
_space_group_name_H-M_alt 'F m -3 m'
_space_group_IT_number 225
_space_group_name_Hall '-F 4 2 3'
loop_
_atom_site_label
_atom_site_type_symbol
_atom_site_fract_x
_atom_site_fract_y
_atom_site_fract_z
Ca1 Ca 0.0000 0.0000 0.0000
Pt1 Pt 0.0000 0.0000 0.5000
Rh1 Rh 0.2500 0.2500 0.2500
```


Run three
Entry from Alexandria: an optimized crystal structure of CaPtRh2 (GGA-PBE).

Structure (CIF):
```
data_CaPtRh2
_cell_length_a 2.8551
_cell_length_b 4.7082
_cell_length_c 5.1675
_cell_angle_alpha 90.00
_cell_angle_beta 98.75
_cell_angle_gamma 90.00
_space_group_name_H-M_alt 'P 1 2/m 1'
_space_group_IT_number 10
loop_
_space_group_symop_operation_xyz
'x,y,z'
'-x,-y,-z'
'-x,y,-z'
'x,-y,z'
loop_
_atom_site_label
_atom_site_type_symbol
_atom_site_fract_x
_atom_site_fract_y
_atom_site_fract_z
Ca1 Ca 0.0000 0.0000 0.0000
Pt1 Pt 0.5000 0.0000 0.5000
Rh1 Rh 0.3248 0.5000 0.7216
```


Order from most stable to least stable according to the calculation: run one, run three, run two


Run one
Entry from Alexandria: an optimized crystal structure of CaPtRh2 (GGA-PBE).

Structure (CIF):
```
data_CaPtRh2
_cell_length_a 2.9263
_cell_length_b 2.9263
_cell_length_c 7.9985
_cell_angle_alpha 90.00
_cell_angle_beta 90.00
_cell_angle_gamma 90.00
_space_group_name_H-M_alt 'P 4/m m m'
_space_group_IT_number 123
_space_group_name_Hall '-P 4 2'
loop_
_atom_site_label
_atom_site_type_symbol
_atom_site_fract_x
_atom_site_fract_y
_atom_site_fract_z
Ca1 Ca 0.0000 0.0000 0.0000
Pt1 Pt 0.0000 0.0000 0.5000
Rh1 Rh 0.5000 0.5000 0.2793
```


Run two
Entry from Alexandria: an optimized crystal structure of CaPtRh2 (GGA-PBE).

Structure (CIF):
```
data_CaPtRh2
_cell_length_a 2.8503
_cell_length_b 4.0259
_cell_length_c 5.9885
_cell_angle_alpha 90.00
_cell_angle_beta 90.00
_cell_angle_gamma 90.00
_space_group_name_H-M_alt 'P m m m'
_space_group_IT_number 47
loop_
_space_group_symop_operation_xyz
'x,y,z'
'-x,-y,-z'
'-x,-y,z'
'x,y,-z'
'x,-y,-z'
'-x,y,z'
'-x,y,-z'
'x,-y,z'
loop_
_atom_site_label
_atom_site_type_symbol
_atom_site_fract_x
_atom_site_fract_y
_atom_site_fract_z
Ca1 Ca 0.0000 0.0000 0.0000
Pt1 Pt 0.0000 0.0000 0.5000
Rh1 Rh 0.5000 0.5000 0.2839
```


Order from most stable to least stable according to the calculation: run two, run one


Run one
Entry from Alexandria: an optimized crystal structure of CaPtRh2 (GGA-PBE).

Structure (CIF):
```
data_CaPtRh2
_cell_length_a 9.5783
_cell_length_b 2.8639
_cell_length_c 4.9652
_cell_angle_alpha 90.00
_cell_angle_beta 100.58
_cell_angle_gamma 90.00
_space_group_name_H-M_alt 'C 1 m 1'
_space_group_IT_number 8
loop_
_space_group_symop_operation_xyz
'x,y,z'
'x,-y,z'
'x+1/2,y+1/2,z'
'x+1/2,-y+1/2,z'
loop_
_atom_site_label
_atom_site_type_symbol
_atom_site_fract_x
_atom_site_fract_y
_atom_site_fract_z
Ca1 Ca 0.0000 0.0000 0.0000
Pt1 Pt 0.2425 0.0000 0.7527
Rh1 Rh 0.2603 0.5000 0.2948
Rh2 Rh 0.4994 0.0000 0.4894
```


Run two
Entry from Alexandria: an optimized crystal structure of CaPtRh2 (GGA-PBE).

Structure (CIF):
```
data_CaPtRh2
_cell_length_a 2.9326
_cell_length_b 2.9326
_cell_length_c 27.2523
_cell_angle_alpha 90.00
_cell_angle_beta 90.00
_cell_angle_gamma 120.00
_space_group_name_H-M_alt 'R -3 m'
_space_group_IT_number 166
_space_group_name_Hall '-R 3 2"'
loop_
_atom_site_label
_atom_site_type_symbol
_atom_site_fract_x
_atom_site_fract_y
_atom_site_fract_z
Ca1 Ca 0.0000 0.0000 0.0000
Pt1 Pt 0.0000 0.0000 0.5000
Rh1 Rh 0.0000 0.0000 0.2456
```


Run three
Entry from Alexandria: an optimized crystal structure of CaPtRh2 (GGA-PBE).

Structure (CIF):
```
data_CaPtRh2
_cell_length_a 4.0908
_cell_length_b 4.0908
_cell_length_c 8.0156
_cell_angle_alpha 90.00
_cell_angle_beta 90.00
_cell_angle_gamma 90.00
_space_group_name_H-M_alt 'I 4/m m m'
_space_group_IT_number 139
_space_group_name_Hall '-I 4 2'
loop_
_atom_site_label
_atom_site_type_symbol
_atom_site_fract_x
_atom_site_fract_y
_atom_site_fract_z
Ca1 Ca 0.0000 0.0000 0.0000
Pt1 Pt 0.0000 0.0000 0.5000
Rh1 Rh 0.0000 0.5000 0.2500
```


Order from most stable to least stable according to the calculation: run one, run three, run two


Run one
Entry from Alexandria: an optimized crystal structure of CaPtRh2 (GGA-PBE).

Structure (CIF):
```
data_CaPtRh2
_cell_length_a 2.8886
_cell_length_b 4.7716
_cell_length_c 10.0070
_cell_angle_alpha 90.00
_cell_angle_beta 90.00
_cell_angle_gamma 90.00
_space_group_name_H-M_alt 'I m m m'
_space_group_IT_number 71
_space_group_name_Hall '-I 2 2'
loop_
_atom_site_label
_atom_site_type_symbol
_atom_site_fract_x
_atom_site_fract_y
_atom_site_fract_z
Ca1 Ca 0.0000 0.0000 0.0000
Pt1 Pt 0.0000 0.0000 0.5000
Rh1 Rh 0.0000 0.5000 0.2279
```


Run two
Entry from Alexandria: an optimized crystal structure of CaPtRh2 (GGA-PBE).

Structure (CIF):
```
data_CaPtRh2
_cell_length_a 4.0586
_cell_length_b 4.0586
_cell_length_c 4.0337
_cell_angle_alpha 90.00
_cell_angle_beta 90.00
_cell_angle_gamma 90.00
_space_group_name_H-M_alt 'P 4/m m m'
_space_group_IT_number 123
_space_group_name_Hall '-P 4 2'
loop_
_atom_site_label
_atom_site_type_symbol
_atom_site_fract_x
_atom_site_fract_y
_atom_site_fract_z
Ca1 Ca 0.0000 0.0000 0.0000
Pt1 Pt 0.5000 0.5000 0.0000
Rh1 Rh 0.0000 0.5000 0.5000
```


Run three
Entry from Alexandria: an optimized crystal structure of CaPtRh2 (GGA-PBE).

Structure (CIF):
```
data_CaPtRh2
_cell_length_a 4.0612
_cell_length_b 4.0612
_cell_length_c 8.1320
_cell_angle_alpha 90.00
_cell_angle_beta 90.00
_cell_angle_gamma 90.00
_space_group_name_H-M_alt 'I -4 m 2'
_space_group_IT_number 119
_space_group_name_Hall 'I -4 -2'
loop_
_atom_site_label
_atom_site_type_symbol
_atom_site_fract_x
_atom_site_fract_y
_atom_site_fract_z
Ca1 Ca 0.0000 0.0000 0.0000
Pt1 Pt 0.0000 0.5000 0.7500
Rh1 Rh 0.0000 0.0000 0.5000
Rh2 Rh 0.0000 0.5000 0.2500
```


Run four
Entry from Alexandria: an optimized crystal structure of CaPtRh2 (GGA-PBE).

Structure (CIF):
```
data_CaPtRh2
_cell_length_a 5.7582
_cell_length_b 7.9059
_cell_length_c 2.8773
_cell_angle_alpha 90.00
_cell_angle_beta 90.00
_cell_angle_gamma 90.00
_space_group_name_H-M_alt 'C m m m'
_space_group_IT_number 65
_space_group_name_Hall '-C 2 2'
loop_
_atom_site_label
_atom_site_type_symbol
_atom_site_fract_x
_atom_site_fract_y
_atom_site_fract_z
Ca1 Ca 0.0000 0.0000 0.0000
Pt1 Pt 0.0000 0.5000 0.0000
Rh1 Rh 0.2500 0.2500 0.5000
```


Order from most stable to least stable according to the calculation: run two, run four, run three, run one